VASP calculation (PBE) on a geometry-optimized TcHgAu2 structure.

Cell lengths 2.860, 5.023, 5.072 Å; angles 90.00, 90.00, 90.00 degrees
Site moments in Bohr magnetons follow the coordinates.
Fractional positions:
Hg  0.500  0.000  0.500  -0.01
Au  0.500  0.500  0.000  0.02
Au  0.000  0.000  0.000  0.01
Tc  0.000  0.500  0.500  1.05

Summary:
ΔH_f (0 K) = 0.4736 eV per atom
ρ = 15.78 g cm⁻³
DOS(E_F) = 2.29 states/eV per cell
space-group type = Pmmm (47)

---

VASP calculation (PBE) on a geometry-optimized TcHgAu4 structure.

Cell lengths 5.510, 5.510, 5.510 Å; angles 60.00, 60.00, 60.00 degrees
Site moments in Bohr magnetons follow the coordinates.
Fractional positions:
Au  0.375  0.875  0.375  0.01
Au  0.375  0.375  0.375  0.01
Au  0.375  0.375  0.875  0.01
Au  0.875  0.375  0.375  0.01
Tc  0.000  0.000  0.000  3.18
Hg  0.750  0.750  0.750  -0.01

Summary:
ΔH_f (0 K) = 0.4944 eV per atom
ρ = 15.25 g cm⁻³
DOS(E_F) = 3.03 states/eV per cell
space-group type = F-43m (216)

---

VASP calculation (PBE) on a geometry-optimized TcHg2Au structure.

Cell lengths 4.105, 4.105, 10.508 Å; angles 78.74, 78.74, 90.00 degrees
Site moments in Bohr magnetons follow the coordinates.
Fractional positions:
Hg  0.375  0.378  0.750  -0.01
Hg  0.128  0.625  0.250  -0.01
Hg  0.875  0.872  0.750  -0.01
Hg  0.622  0.125  0.250  -0.01
Au  0.000  0.000  0.000  0.06
Au  0.750  0.250  0.500  0.06
Tc  0.500  0.500  0.000  2.36
Tc  0.250  0.750  0.500  2.35

Summary:
ΔH_f (0 K) = 0.6925 eV per atom
ρ = 13.58 g cm⁻³
ΔE to the lowest computed polymorph = 258 meV/atom
DOS(E_F) = 3.70 states/eV per cell
space-group type = I-42d (122)

---

VASP calculation (PBE) on a geometry-optimized TcHgAu2 structure.

Cell lengths 5.000, 5.000, 5.395 Å; angles 82.40, 82.40, 32.41 degrees
Site moments in Bohr magnetons follow the coordinates.
Fractional positions:
Tc  0.252  0.252  0.241  0.20
Hg  0.505  0.505  0.493  0.00
Au  0.749  0.749  0.756  0.00
Au  0.994  0.994  0.011  0.01

Summary:
ΔH_f (0 K) = 0.4177 eV per atom
ρ = 16.06 g cm⁻³
DOS(E_F) = 3.05 states/eV per cell
space-group type = Cm (8)

---

VASP calculation (PBE) on a geometry-optimized Tc2HgAu structure.

Cell lengths 4.593, 4.593, 4.593 Å; angles 60.00, 60.00, 60.00 degrees
Site moments in Bohr magnetons follow the coordinates.
Fractional positions:
Au  0.500  0.500  0.500  0.05
Tc  0.250  0.250  0.250  1.21
Tc  0.000  0.000  0.000  -0.35
Hg  0.750  0.750  0.750  0.02

Summary:
ΔH_f (0 K) = 0.6805 eV per atom
ρ = 14.38 g cm⁻³
DOS(E_F) = 3.50 states/eV per cell
space-group type = F-43m (216)

---

VASP calculation (PBE) on a geometry-optimized Tc2HgAu structure.

Cell lengths 9.812, 9.812, 9.812 Å; angles 16.75, 16.75, 16.75 degrees
Fractional positions:
Tc  0.256  0.256  0.256
Tc  0.992  0.992  0.992
Hg  0.747  0.747  0.747
Au  0.505  0.505  0.505

Summary:
ΔH_f (0 K) = 0.1955 eV per atom
ρ = 14.41 g cm⁻³
DOS(E_F) = 0.84 states/eV per cell
space-group type = R3m (160)

---

VASP calculation (PBE) on a geometry-optimized TcHg2Au structure.

Cell lengths 9.749, 9.749, 9.749 Å; angles 17.70, 17.70, 17.70 degrees
Fractional positions:
Au  0.750  0.750  0.750
Hg  0.997  0.997  0.997
Hg  0.503  0.503  0.503
Tc  0.250  0.250  0.250

Summary:
ΔH_f (0 K) = 0.4341 eV per atom
ρ = 15.47 g cm⁻³
ΔE to the lowest computed polymorph = 0 meV/atom
DOS(E_F) = 2.42 states/eV per cell
space-group type = R-3m (166)

---

VASP calculation (PBE) on a geometry-optimized TcHgAu2 structure.

Cell lengths 9.829, 9.829, 9.829 Å; angles 17.14, 17.14, 17.14 degrees
Site moments in Bohr magnetons follow the coordinates.
Fractional positions:
Hg  0.250  0.250  0.250  0.00
Au  0.006  0.006  0.006  0.00
Au  0.494  0.494  0.494  0.00
Tc  0.750  0.750  0.750  0.13

Summary:
ΔH_f (0 K) = 0.3281 eV per atom
ρ = 15.98 g cm⁻³
DOS(E_F) = 4.11 states/eV per cell
space-group type = R-3m (166)

---

VASP calculation (PBE) on a geometry-optimized TcHg2Au structure.

Cell lengths 5.212, 5.212, 5.212 Å; angles 131.87, 131.87, 70.43 degrees
Site moments in Bohr magnetons follow the coordinates.
Fractional positions:
Tc  0.500  0.500  0.000  2.08
Hg  0.000  0.000  0.000  -0.04
Hg  0.250  0.750  0.500  -0.01
Au  0.750  0.250  0.500  0.06

Summary:
ΔH_f (0 K) = 0.5723 eV per atom
ρ = 15.03 g cm⁻³
ΔE to the lowest computed polymorph = 138 meV/atom
DOS(E_F) = 2.57 states/eV per cell
space-group type = I-4m2 (119)

---

VASP calculation (PBE) on a geometry-optimized TcHg2Au structure.

Cell lengths 5.017, 5.017, 5.446 Å; angles 80.47, 80.47, 33.87 degrees
Fractional positions:
Hg  0.496  0.496  0.509
Hg  0.004  0.004  0.991
Au  0.250  0.250  0.250
Tc  0.750  0.750  0.750

Summary:
ΔH_f (0 K) = 0.5105 eV per atom
ρ = 15.36 g cm⁻³
ΔE to the lowest computed polymorph = 76 meV/atom
DOS(E_F) = 2.63 states/eV per cell
space-group type = C2/m (12)

---

VASP calculation (PBE) on a geometry-optimized TcHgAu2 structure.

Cell lengths 5.990, 5.990, 5.990 Å; angles 152.98, 129.97, 57.78 degrees
Site moments in Bohr magnetons follow the coordinates.
Fractional positions:
Tc  0.250  0.750  0.500  0.57
Hg  0.750  0.250  0.500  -0.01
Au  0.481  0.481  0.000  -0.01
Au  0.019  0.019  0.000  -0.01

Summary:
ΔH_f (0 K) = 0.4402 eV per atom
ρ = 15.46 g cm⁻³
DOS(E_F) = 2.73 states/eV per cell
space-group type = Immm (71)

---

VASP calculation (PBE) on a geometry-optimized TcHg2Au structure.

Cell lengths 3.006, 3.006, 8.345 Å; angles 90.00, 90.00, 90.00 degrees
Site moments in Bohr magnetons follow the coordinates.
Fractional positions:
Hg  0.000  0.000  0.011  -0.01
Hg  0.000  0.000  0.489  -0.01
Au  0.500  0.500  0.750  -0.03
Tc  0.500  0.500  0.250  1.42

Summary:
ΔH_f (0 K) = 0.4620 eV per atom
ρ = 15.33 g cm⁻³
ΔE to the lowest computed polymorph = 28 meV/atom
DOS(E_F) = 2.39 states/eV per cell
space-group type = P4/mmm (123)

---

We obtain uncorrected energy values of -0.2816 -0.2549 -0.2109 -0.2858 -0.3967 -0.4323 -0.2299 -0.2923 -0.2197 -0.2243 -0.2841 -0.2278 Ry/atom for the records listed above, in that order.